FeSb2Pt after structural relaxation. Source: Alexandria via LeMat-Bulk, functional PBEsol.

Lattice parameters (Å, degrees): 3.459 4.565 4.565 90.00 90.00 90.00
Each line ends with the local moment (μB).
Atoms (fractional coordinates):
Sb 0.000 0.500 0.000  -0.01
Sb 0.000 0.000 0.500  -0.01
Fe 0.500 0.000 0.000  2.40
Pt 0.500 0.500 0.500  0.07

## Properties
M_tot   0.60 μB/atom
E_form (uncorrected)   0.135 eV/atom
Volume   72.1 Å³ per cell
Crystal system   tetragonal
Density of states at the Fermi level   0.766 states/eV/atom
Electronic total energy   -24.50 eV for the cell shown
Space group   No. 123

ScFePt2 after structural relaxation. Source: Alexandria via LeMat-Bulk, functional PBEsol.

Lattice parameters (Å, degrees): 2.847 4.482 4.731 90.00 90.09 90.00
Each line ends with the local moment (μB).
Atoms (fractional coordinates):
Pt 0.875 0.000 0.931  0.12
Pt 0.875 0.500 0.307  0.09
Fe 0.374 0.500 0.824  2.86
Sc 0.376 0.000 0.437  -0.09

## Properties
M_tot   0.74 μB/atom
Volume   60.4 Å³ per cell
Crystal system   monoclinic
Density of states at the Fermi level   0.992 states/eV/atom
Electronic total energy   -31.88 eV for the cell shown
Energy relative to the elements   -2.38 eV/f.u.
Space group   No. 6

ScFePt2 after structural relaxation. Source: Alexandria via LeMat-Bulk, functional PBEsol.

Lattice parameters (Å, degrees): 2.831 2.831 8.926 80.88 80.88 60.00
Each line ends with the local moment (μB).
Atoms (fractional coordinates):
Pt 0.752 0.752 0.745  0.03
Pt 0.995 0.995 0.016  0.29
Sc 0.502 0.502 0.495  -0.14
Fe 0.252 0.252 0.244  2.65

## Properties
M_tot   0.69 μB/atom
Volume   60.9 Å³ per cell
Crystal system   trigonal
Density of states at the Fermi level   0.648 states/eV/atom
Electronic total energy   -30.11 eV for the cell shown
Energy relative to the elements   -0.61 eV/f.u.
Space group   No. 160

ScFePt2 after structural relaxation. Source: Alexandria via LeMat-Bulk, functional PBEsol.

Lattice parameters (Å, degrees): 2.831 3.877 5.536 90.00 90.00 90.00
Each line ends with the local moment (μB).
Atoms (fractional coordinates):
Pt 0.500 0.500 0.260  0.04
Pt 0.000 0.000 0.969  0.24
Sc 0.000 0.000 0.489  -0.12
Fe 0.500 0.500 0.782  2.69

## Properties
M_tot   0.71 μB/atom
Volume   60.8 Å³ per cell
Crystal system   orthorhombic
Density of states at the Fermi level   0.936 states/eV/atom
Electronic total energy   -31.56 eV for the cell shown
Energy relative to the elements   -2.07 eV/f.u.
Space group   No. 25

FePtSe after structural relaxation. Source: Alexandria via LeMat-Bulk, functional PBEsol.

Lattice parameters (Å, degrees): 4.089 4.089 4.089 60.00 60.00 60.00
Each line ends with the local moment (μB).
Atoms (fractional coordinates):
Pt 0.000 0.000 0.000  0.32
Se 0.500 0.500 0.500  -0.04
Fe 0.750 0.750 0.750  2.34

## Properties
M_tot   0.88 μB/atom
E_form (uncorrected)   0.166 eV/atom
Volume   48.3 Å³ per cell
Crystal system   cubic
Density of states at the Fermi level   1.042 states/eV/atom
Electronic total energy   -19.28 eV for the cell shown
Space group   No. 216

YFe2PtSe after structural relaxation. Source: Alexandria via LeMat-Bulk, functional PBEsol.

Lattice parameters (Å, degrees): 4.353 4.353 4.792 90.00 90.00 90.00
Each line ends with the local moment (μB).
Atoms (fractional coordinates):
Se 0.000 0.000 0.000  -0.03
Fe 0.500 0.000 0.000  2.09
Fe 0.000 0.500 0.000  2.09
Pt 0.000 0.000 0.500  0.07
Y 0.500 0.500 0.500  -0.25

## Properties
M_tot   0.76 μB/atom
E_form (uncorrected)   0.106 eV/atom
Volume   90.8 Å³ per cell
Crystal system   tetragonal
Density of states at the Fermi level   0.937 states/eV/atom
Electronic total energy   -35.03 eV for the cell shown
Space group   No. 123

Q: Look up the density of states at the Fermi level of the sixth one.
A: 0.937 states/eV/atom

What did the fifth record say?
FePtSe after structural relaxation. Source: Alexandria via LeMat-Bulk, functional PBEsol.

Lattice parameters (Å, degrees): 4.089 4.089 4.089 60.00 60.00 60.00
Each line ends with the local moment (μB).
Atoms (fractional coordinates):
Pt 0.000 0.000 0.000  0.32
Se 0.500 0.500 0.500  -0.04
Fe 0.750 0.750 0.750  2.34

## Properties
M_tot   0.88 μB/atom
E_form (uncorrected)   0.166 eV/atom
Volume   48.3 Å³ per cell
Crystal system   cubic
Density of states at the Fermi level   1.042 states/eV/atom
Electronic total energy   -19.28 eV for the cell shown
Space group   No. 216

Q: Which of these has the lowest M_tot?
A: FeSb2Pt